Density functional theory data (PBE) for crystalline Nd3Mg2Cd9 at its relaxed geometry.

Geometry as POSCAR:
```
Nd3Mg2Cd9
1.0
4.7594 0.0000 1.2783
1.7163 8.3053 3.1089
0.1310 0.6081 9.0112
Nd Mg Cd
3 2 9
direct
0.0000 0.0000 0.0000
0.7135 0.2865 0.2865
0.2865 0.7135 0.7135
0.5000 0.3265 0.6735
0.5000 0.6735 0.3265
0.0000 0.5000 0.5000
0.6551 0.9857 0.7041
0.3449 0.0143 0.2959
0.6551 0.7041 0.9857
0.3449 0.2959 0.0143
0.8599 0.8548 0.4253
0.1401 0.1452 0.5747
0.8599 0.4253 0.8548
0.1401 0.5747 0.1452
```

Calculated values
The mass density comes out at 7.14 g/cm³. The energy relative to the elements is -271 meV per atom. The space group is Immm.

=====

Density functional theory data (PBE) for crystalline SrGaSeBr2 at its relaxed geometry.

Geometry as POSCAR:
```
SrGaSeBr2
1.0
-2.2268 -0.0538 4.8441
-4.7718 -0.8951 -2.2035
0.8126 -5.1116 0.3167
Sr Ga Se Br
1 1 1 2
direct
0.5000 0.5000 0.5000
0.0000 0.0000 0.0000
0.0000 0.0000 0.5000
0.0000 0.5000 0.0000
0.5000 0.0000 0.0000
```

Calculated values
The mass density comes out at 4.46 g/cm³. For the formation energy (no corrections), the calculation gives -1.0489 eV per atom. The space group is P4/mmm.

=====

Density functional theory data (PBE) for crystalline Tm8Ge3Te4C at its relaxed geometry.

Geometry as POSCAR:
```
Tm8Ge3Te4C
1.0
8.1886 0.0000 0.0000
0.0000 8.4293 0.1634
-4.0943 -4.0898 5.7936
Tm Ge Te C
8 3 4 1
direct
0.2223 0.7035 0.9812
0.2226 0.7037 0.4452
0.2597 0.2792 0.5195
0.7589 0.7035 0.9812
0.2411 0.2965 0.0188
0.7403 0.7208 0.4805
0.7774 0.2963 0.5548
0.7777 0.2965 0.0188
0.5000 0.5000 0.0000
0.5000 0.5000 0.5000
0.0000 0.5000 0.5000
0.5000 0.0000 0.0000
0.5000 0.0000 0.5000
0.0000 0.0000 0.0000
0.0000 0.0000 0.5000
0.0000 0.5000 0.0000
```

Calculated values
The mass density comes out at 8.57 g/cm³. For the formation energy (no corrections), the calculation gives -1.0347 eV per atom. The space group is R-3m.

=====

Density functional theory data (PBE) for crystalline CuPdAu2Se at its relaxed geometry.

Geometry as POSCAR:
```
CuPdAu2Se
1.0
4.9853 0.0000 0.0000
0.0000 4.3951 0.0000
0.0000 0.0000 4.9853
Cu Au Se Pd
1 2 1 1
direct
0.0000 0.5000 0.0000
0.0000 0.0000 0.5000
0.5000 0.0000 0.0000
0.0000 0.0000 0.0000
0.5000 0.5000 0.5000
```

Calculated values
The mass density comes out at 9.77 g/cm³. For the formation energy (no corrections), the calculation gives 0.5790 eV per atom. The space group is P4/mmm.

=====

Density functional theory data (PBE) for crystalline TaBeRu at its relaxed geometry.

Geometry as POSCAR:
```
TaBeRu
1.0
-2.2743 1.9163 -4.3935
4.8776 -2.0750 -0.2266
-3.9334 -9.0378 -1.9057
Ta Be Ru
6 6 6
direct
0.5000 0.0000 0.6667
0.0000 0.0000 0.5000
0.0000 0.0000 0.8333
0.0000 0.0000 0.1667
0.5000 0.5000 0.0000
0.0000 0.5000 0.3333
0.3944 0.7887 0.1667
0.7887 0.3944 0.8333
0.6056 0.3944 0.5000
0.6056 0.2113 0.1667
0.3944 0.6056 0.5000
0.2113 0.6056 0.8333
0.5000 0.5000 0.2957
0.0000 0.5000 0.6290
0.5000 0.5000 0.7043
0.0000 0.5000 0.0377
0.5000 0.0000 0.9623
0.5000 0.0000 0.3710
```

Calculated values
The mass density comes out at 11.85 g/cm³. The energy relative to the elements is -182 meV per atom. The space group is P6_222.

=====

Density functional theory data (PBE) for crystalline YMg2CrFe at its relaxed geometry.

Geometry as POSCAR:
```
YMg2CrFe
1.0
-0.8123 -4.5256 3.2381
1.6061 -2.5799 -3.2029
5.1750 0.5887 2.1209
Y Cr Mg Fe
1 1 2 1
direct
0.0000 0.0000 0.0000
0.5000 0.5000 0.5000
0.0000 0.0000 0.5000
0.5000 0.0000 0.0000
0.0000 0.5000 0.0000
```

Calculated values
The mass density comes out at 2.92 g/cm³. The energy relative to the elements is 1602 meV per atom. The space group is P4/mmm.

=====

Density functional theory data (PBE) for crystalline YMoSN2 at its relaxed geometry.

Geometry as POSCAR:
```
YMoSN2
1.0
4.3444 0.0000 0.0000
0.0000 4.3444 0.0000
0.0000 0.0000 5.2783
Y Mo S N
1 1 1 2
direct
0.0000 0.0000 0.0000
0.5000 0.5000 0.5000
0.0000 0.0000 0.5000
0.0000 0.5000 0.0000
0.5000 0.0000 0.0000
```

Calculated values
The mass density comes out at 4.08 g/cm³. For the formation energy (no corrections), the calculation gives 1.1083 eV per atom. The space group is P4/mmm.

=====

Density functional theory data (PBE) for crystalline LaPr2Mg at its relaxed geometry.

Geometry as POSCAR:
```
LaPr2Mg
1.0
3.8168 0.0000 0.0000
0.0000 3.8168 0.0000
0.0000 0.0000 9.1675
Pr Mg La
2 1 1
direct
0.0000 0.0000 0.7760
0.0000 0.0000 0.2240
0.5000 0.5000 0.0000
0.5000 0.5000 0.5000
```

Calculated values
The mass density comes out at 5.53 g/cm³. The energy relative to the elements is -45 meV per atom. The space group is P4/mmm.

=====

Density functional theory data (PBE) for crystalline Tm5BiPd at its relaxed geometry.

Geometry as POSCAR:
```
Tm5BiPd
1.0
6.4779 0.5635 -0.3430
2.5895 5.9645 -0.3430
3.0872 2.2226 10.6225
Tm Bi Pd
10 2 2
direct
0.9420 0.6113 0.1419
0.2191 0.5261 0.5441
0.6113 0.9420 0.6419
0.9474 0.0526 0.2500
0.4739 0.7809 0.9559
0.5261 0.2191 0.0441
0.0526 0.9474 0.7500
0.3887 0.0580 0.3581
0.7809 0.4739 0.4559
0.0580 0.3887 0.8581
0.4443 0.5557 0.2500
0.5557 0.4443 0.7500
0.0000 0.0000 0.0000
0.0000 0.0000 0.5000
```

Calculated values
The mass density comes out at 9.55 g/cm³. The energy relative to the elements is -293 meV per atom. The space group is C2/c.

=====

Density functional theory data (PBE) for crystalline NdHfTl2 at its relaxed geometry.

Geometry as POSCAR:
```
NdHfTl2
1.0
3.8275 0.0000 0.0000
0.0000 3.8275 0.0000
0.0000 0.0000 7.0800
Nd Tl Hf
1 2 1
direct
0.5000 0.5000 0.5000
0.0000 0.0000 0.7755
0.0000 0.0000 0.2245
0.5000 0.5000 0.0000
```

Calculated values
The mass density comes out at 11.71 g/cm³. The energy relative to the elements is -37 meV per atom. The space group is P4/mmm.

=====

Density functional theory data (PBE) for crystalline Mg2CoOs at its relaxed geometry.

Geometry as POSCAR:
```
Mg2CoOs
1.0
-0.4362 0.0541 4.3583
-3.0063 2.5805 1.8684
-3.5463 -1.7665 1.8683
Co Mg Os
1 2 1
direct
0.0000 0.0000 0.0000
0.2500 0.2500 0.2500
0.7500 0.7500 0.7500
0.5000 0.5000 0.5000
```

Calculated values
The mass density comes out at 8.32 g/cm³. The energy relative to the elements is 398 meV per atom. The space group is Fm-3m.

=====

Density functional theory data (PBE) for crystalline Pr2ThCo at its relaxed geometry.

Geometry as POSCAR:
```
Pr2ThCo
1.0
-1.8668 -1.8117 2.5244
-2.7311 -2.1738 -0.9773
5.2636 -9.4928 -0.3176
Pr Co Th
2 1 1
direct
0.1113 0.1113 0.6662
0.8887 0.8887 0.3338
0.5000 0.5000 0.5000
0.0000 0.0000 0.0000
```

Calculated values
The mass density comes out at 7.84 g/cm³. The energy relative to the elements is 297 meV per atom. The space group is R-3m.